Entry from Alexandria via LeMat-Bulk: a relaxed ZrMnPd14 crystal (PBE-GGA).

Unit cell a=5.6294 b=5.6294 c=7.8862 alpha=90.00 beta=90.00 gamma=90.00
Each line ends with the local moment (μB).
Sites, in units of the cell vectors:
Zr1 0.8750 0.8750 0.5000  -0.04
Mn1 0.3750 0.3750 0.5000  3.92
Pd1 0.8750 0.8750 0.0000  -0.03
Pd2 0.3750 0.3750 0.0000  0.11
Pd3 0.8750 0.3750 0.5000  0.10
Pd4 0.8750 0.3750 0.0000  0.08
Pd5 0.3750 0.8750 0.5000  0.10
Pd6 0.3750 0.8750 0.0000  0.08
Pd7 0.6238 0.1262 0.2524  0.08
Pd8 0.6238 0.1262 0.7476  0.08
Pd9 0.1262 0.6238 0.2524  0.08
Pd10 0.1262 0.6238 0.7476  0.08
Pd11 0.6237 0.6237 0.2524  0.08
Pd12 0.6237 0.6237 0.7476  0.08
Pd13 0.1263 0.1263 0.2524  0.08
Pd14 0.1263 0.1263 0.7476  0.08

Total magnetization: 5.09 μB/f.u.
Space group: No. 123
N(E_F): 25.02 states/eV/cell
DFT formation energy: -4.2 eV/f.u.